16
Lattice="4.150 2.396 6.964 -4.150 2.396 6.964 0.000 -4.792 6.964" Properties=species:S:1:pos:R:3 comment="Na4Np3AsSe8 (PBE, optimized geometry)" final_energy_ev_per_atom=-5.795 space_group=R-3m crystal_system=trigonal e_form_raw_ev_per_atom=-1.01 dos_at_fermi_per_ev_cell=32.4 magnetic_moment_mub_per_atom=0.747 pbc="T T T"
Na 0.000 0.000 0.000
Na -2.075 -1.198 6.964
Na -2.075 1.198 13.927
Na 0.000 2.396 6.964
Np -4.150 0.000 10.446
Np -2.075 1.198 3.482
Np 2.075 1.198 3.482
As 0.000 0.000 10.446
Se 0.000 0.000 5.100
Se -2.008 -1.160 12.021
Se 0.000 -2.319 8.870
Se -2.008 1.160 8.870
Se 2.008 -1.160 12.021
Se 0.000 2.319 12.021
Se 2.008 1.160 8.870
Se 0.000 0.000 15.791


16
Lattice="-4.104 4.214 5.865 4.104 -4.214 5.865 4.104 4.214 -5.865" Properties=species:S:1:pos:R:3 comment="Na2NpAsSe4 (PBE, optimized geometry)" final_energy_ev_per_atom=-5.096 space_group=Imma crystal_system=orthorhombic e_form_raw_ev_per_atom=-0.83 dos_at_fermi_per_ev_cell=16.8 magnetic_moment_mub_per_atom=0.490 pbc="T T T"
Na 0.000 0.000 0.000
Na -2.052 2.107 2.933
Na 0.000 4.214 0.000
Na 2.052 2.107 2.933
Np 4.104 0.000 0.000
Np 0.000 0.000 5.865
As 2.052 2.107 -2.933
As 2.052 -2.107 2.933
Se 4.104 -0.218 2.892
Se 4.104 3.996 -2.892
Se 2.128 2.107 -0.140
Se 6.080 2.107 -0.140
Se -1.976 2.107 6.005
Se 1.976 2.107 6.005
Se 0.000 0.218 8.757
Se 0.000 4.431 2.973


15
Lattice="4.133 2.386 6.996 -4.133 2.386 6.996 0.000 -4.772 6.996" Properties=species:S:1:pos:R:3 comment="Na3Np3AsSe8 (PBE, optimized geometry)" final_energy_ev_per_atom=-6.016 space_group=R-3m crystal_system=trigonal e_form_raw_ev_per_atom=-1.00 dos_at_fermi_per_ev_cell=33.5 magnetic_moment_mub_per_atom=0.733 pbc="T T T"
Na -2.066 -1.193 6.996
Na -2.066 1.193 13.992
Na 0.000 2.386 6.996
Np -4.133 0.000 10.494
Np -2.066 1.193 3.498
Np 2.066 1.193 3.498
As 0.000 0.000 10.494
Se 0.000 0.000 5.121
Se -1.996 -1.152 12.025
Se 0.000 -2.305 8.962
Se -1.996 1.152 8.962
Se 1.996 -1.152 12.025
Se 0.000 2.305 12.025
Se 1.996 1.152 8.962
Se 0.000 0.000 15.866


12
Lattice="3.858 -6.679 0.000 3.858 6.679 0.000 -2.572 0.000 7.426" Properties=species:S:1:pos:R:3 comment="Na3Np2Te6As (PBE, optimized geometry)" final_energy_ev_per_atom=-5.077 space_group=C2/m crystal_system=monoclinic e_form_raw_ev_per_atom=-0.63 dos_at_fermi_per_ev_cell=17.3 magnetic_moment_mub_per_atom=0.667 pbc="T T T"
Na 0.000 0.000 0.000
Na 3.858 2.228 0.000
Na 3.858 -2.228 0.000
Np 2.572 4.451 3.713
Np 2.572 -4.451 3.713
Te 1.347 2.120 2.028
Te 0.123 0.000 5.383
Te 1.347 -2.120 2.028
Te 3.798 2.120 5.399
Te 5.022 0.000 2.043
Te 3.798 -2.120 5.399
As 2.572 0.000 3.713


8
Lattice="7.680 0.000 0.000 0.000 4.401 0.000 -2.525 0.000 7.437" Properties=species:S:1:pos:R:3 comment="Na2NpTe4As (PBE, optimized geometry)" final_energy_ev_per_atom=-4.645 space_group=P2/m crystal_system=monoclinic e_form_raw_ev_per_atom=-0.55 dos_at_fermi_per_ev_cell=8.8 magnetic_moment_mub_per_atom=0.494 pbc="T T T"
Na 0.000 0.000 0.000
Na 3.840 2.200 0.000
Np -1.263 2.200 3.719
Te 0.134 0.000 5.410
Te 1.403 2.200 2.094
Te 3.752 2.200 5.343
Te 5.021 0.000 2.027
As 2.578 0.000 3.719


5
Lattice="3.682 0.000 0.000 0.000 3.682 0.000 0.000 0.000 3.682" Properties=species:S:1:pos:R:3 comment="NaAsO3 (PBE, optimized geometry)" final_energy_ev_per_atom=-5.330 space_group=Pm-3m crystal_system=cubic e_form_raw_ev_per_atom=-1.16 dos_at_fermi_per_ev_cell=1.3 magnetic_moment_mub_per_atom=0.000 pbc="T T T"
Na 0.000 0.000 0.000
As 1.841 1.841 1.841
O 0.000 1.841 1.841
O 1.841 0.000 1.841
O 1.841 1.841 0.000